Record 1
KMgCoSe2, optimized geometry, DFT PBE; E_form (uncorrected) = 6.623 eV/f.u.; density = 2.8 g/cm³
1.0
5.6299 0.0000 0.0000
0.0000 5.2262 0.0000
0.0000 0.0000 5.6299
K Co Mg Se
1 1 1 2
direct
0.0000 0.0000 0.0000
0.5000 0.5000 0.5000
0.0000 0.5000 0.0000
0.0000 0.0000 0.5000
0.5000 0.0000 0.0000

Record 2
KMg2CoSn, optimized geometry, DFT PBE; density = 3.5 g/cm³; energy of formation from the pure elements = -0.03 eV per atom
1.0
5.0705 0.0000 0.0000
0.0000 5.0705 0.0000
0.0000 0.0000 4.8685
Mg K Co Sn
2 1 1 1
direct
0.0000 0.5000 0.0000
0.5000 0.0000 0.0000
0.5000 0.5000 0.5000
0.0000 0.0000 0.0000
0.0000 0.0000 0.5000

Record 3
KMg2TaCo, optimized geometry, DFT PBE; density = 4.6 g/cm³; energy of formation from the pure elements = 0.56 eV per atom
1.0
-2.1174 4.6039 -0.6478
-0.8803 0.2246 4.4735
4.5436 2.1999 0.7836
K Co Mg Ta
1 1 2 1
direct
0.5000 0.5000 0.5000
0.0000 0.0000 0.0000
0.0000 0.0000 0.5000
0.5000 0.0000 0.0000
0.0000 0.5000 0.0000

Computed values of uncorrected energy (unit: eV per atom) for the preceding records, in sequence: -2.029 -3.107 -4.091.